No. 1
This record from the Alexandria database describes BiTeS after structural relaxation. The functional is GGA-PBE.

The structure in CIF format:
```
data_BiTeS
_chemical_formula_sum 'Bi2 Te2 S2'
_symmetry_space_group_name_H-M 'P 1'
_symmetry_Int_Tables_number 1
_symmetry_space_group_name_Hall 'P 1'
_cell_length_a 6.4341
_cell_length_b 3.8264
_cell_length_c 7.7646
_cell_angle_alpha 90.00
_cell_angle_beta 91.27
_cell_angle_gamma 90.00
loop_
_atom_site_label
_atom_site_fract_x
_atom_site_fract_y
_atom_site_fract_z
Bi1 0.0303 0.2500 0.2262
Bi2 0.9697 0.7500 0.7738
Te1 0.3259 0.2500 0.5583
Te2 0.6741 0.7500 0.4417
S1 0.2501 0.7500 0.0711
S2 0.7499 0.2500 0.9289
```

Calculated values
Uncorrected energy (Ha/atom): -0.1400
E above lowest polymorph (meV/atom): 136

***

No. 2
This record from the Alexandria database describes La2TbAu after structural relaxation. The functional is GGA-PBE.

The structure in CIF format:
```
data_La2TbAu
_chemical_formula_sum 'La2 Tb1 Au1'
_symmetry_space_group_name_H-M 'P 1'
_symmetry_Int_Tables_number 1
_symmetry_space_group_name_Hall 'P 1'
_cell_length_a 10.3925
_cell_length_b 10.3925
_cell_length_c 10.3925
_cell_angle_alpha 21.36
_cell_angle_beta 21.36
_cell_angle_gamma 21.36
loop_
_atom_site_label
_atom_site_fract_x
_atom_site_fract_y
_atom_site_fract_z
La1 0.0000 0.0000 0.0000
La2 0.1893 0.1893 0.1893
Tb1 0.4270 0.4270 0.4270
Au1 0.5952 0.5952 0.5952
```

Calculated values
Uncorrected energy (Ha/atom): -0.1725
Formation energy from the elements (eV per atom): -0.2530
E above lowest polymorph (meV/atom): 146

***

No. 3
This record from the Alexandria database describes LaTbNiHg after structural relaxation. The functional is GGA-PBE.

The structure in CIF format:
```
data_LaTbNiHg
_chemical_formula_sum 'La1 Tb1 Ni1 Hg1'
_symmetry_space_group_name_H-M 'P 1'
_symmetry_Int_Tables_number 1
_symmetry_space_group_name_Hall 'P 1'
_cell_length_a 5.2011
_cell_length_b 5.2011
_cell_length_c 5.2011
_cell_angle_alpha 60.00
_cell_angle_beta 60.00
_cell_angle_gamma 60.00
loop_
_atom_site_label
_atom_site_fract_x
_atom_site_fract_y
_atom_site_fract_z
La1 0.0000 0.0000 0.0000
Tb1 0.5000 0.5000 0.5000
Ni1 0.2500 0.2500 0.2500
Hg1 0.7500 0.7500 0.7500
```

Calculated values
Uncorrected energy (Ha/atom): -0.1547
Formation energy from the elements (eV per atom): -0.2985

***

No. 4
This record from the Alexandria database describes Ta2FeAu after structural relaxation. The functional is GGA-PBE.

The structure in CIF format:
```
data_Ta2FeAu
_chemical_formula_sum 'Ta2 Fe1 Au1'
_symmetry_space_group_name_H-M 'P 1'
_symmetry_Int_Tables_number 1
_symmetry_space_group_name_Hall 'P 1'
_cell_length_a 8.8605
_cell_length_b 8.8605
_cell_length_c 8.8605
_cell_angle_alpha 19.60
_cell_angle_beta 19.60
_cell_angle_gamma 19.60
loop_
_atom_site_label
_atom_site_fract_x
_atom_site_fract_y
_atom_site_fract_z
Ta1 0.0000 0.0000 0.0000
Ta2 0.2428 0.2428 0.2428
Fe1 0.7381 0.7381 0.7381
Au1 0.4878 0.4878 0.4878
```

Calculated values
Uncorrected energy (Ha/atom): -0.3174
Formation energy from the elements (eV per atom): 0.2254
E above lowest polymorph (meV/atom): 255

***

No. 5
This record from the Alexandria database describes Ca2ReTc after structural relaxation. The functional is GGA-PBE.

The structure in CIF format:
```
data_Ca2ReTc
_chemical_formula_sum 'Ca2 Re1 Tc1'
_symmetry_space_group_name_H-M 'P 1'
_symmetry_Int_Tables_number 1
_symmetry_space_group_name_Hall 'P 1'
_cell_length_a 10.2738
_cell_length_b 10.2738
_cell_length_c 10.2738
_cell_angle_alpha 16.68
_cell_angle_beta 16.68
_cell_angle_gamma 16.68
loop_
_atom_site_label
_atom_site_fract_x
_atom_site_fract_y
_atom_site_fract_z
Ca1 0.2489 0.2489 0.2489
Ca2 0.7511 0.7511 0.7511
Re1 0.0000 0.0000 0.0000
Tc1 0.5000 0.5000 0.5000
```

Calculated values
Uncorrected energy (Ha/atom): -0.2122
Formation energy from the elements (eV per atom): 0.9289
E above lowest polymorph (meV/atom): 668

***

No. 6
This record from the Alexandria database describes NaAs2PbO6 after structural relaxation. The functional is GGA-PBE.

The structure in CIF format:
```
data_NaAs2PbO6
_chemical_formula_sum 'Na1 As2 Pb1 O6'
_symmetry_space_group_name_H-M 'P 1'
_symmetry_Int_Tables_number 1
_symmetry_space_group_name_Hall 'P 1'
_cell_length_a 6.7278
_cell_length_b 6.7278
_cell_length_c 6.7278
_cell_angle_alpha 49.56
_cell_angle_beta 49.56
_cell_angle_gamma 49.56
loop_
_atom_site_label
_atom_site_fract_x
_atom_site_fract_y
_atom_site_fract_z
Na1 0.0000 0.0000 0.0000
As1 0.2813 0.2813 0.2813
As2 0.7187 0.7187 0.7187
Pb1 0.5000 0.5000 0.5000
O1 0.0433 0.7345 0.4543
O2 0.2655 0.5457 0.9567
O3 0.4543 0.0433 0.7345
O4 0.5457 0.9567 0.2655
O5 0.7345 0.4543 0.0433
O6 0.9567 0.2655 0.5457
```

Calculated values
Uncorrected energy (Ha/atom): -0.2037

***

No. 7
This record from the Alexandria database describes SrEuZnNi after structural relaxation. The functional is GGA-PBE.

The structure in CIF format:
```
data_SrEuZnNi
_chemical_formula_sum 'Sr1 Eu1 Zn1 Ni1'
_symmetry_space_group_name_H-M 'P 1'
_symmetry_Int_Tables_number 1
_symmetry_space_group_name_Hall 'P 1'
_cell_length_a 5.2295
_cell_length_b 5.2295
_cell_length_c 5.2295
_cell_angle_alpha 60.00
_cell_angle_beta 60.00
_cell_angle_gamma 60.00
loop_
_atom_site_label
_atom_site_fract_x
_atom_site_fract_y
_atom_site_fract_z
Sr1 0.0000 0.0000 0.0000
Eu1 0.5000 0.5000 0.5000
Zn1 0.2500 0.2500 0.2500
Ni1 0.7500 0.7500 0.7500
```

Calculated values
Uncorrected energy (Ha/atom): -0.1757
Formation energy from the elements (eV per atom): -0.0294

***

No. 8
This record from the Alexandria database describes LaSiOs2 after structural relaxation. The functional is GGA-PBE.

The structure in CIF format:
```
data_LaSiOs2
_chemical_formula_sum 'La1 Si1 Os2'
_symmetry_space_group_name_H-M 'P 1'
_symmetry_Int_Tables_number 1
_symmetry_space_group_name_Hall 'P 1'
_cell_length_a 5.5171
_cell_length_b 5.5171
_cell_length_c 5.5171
_cell_angle_alpha 149.15
_cell_angle_beta 123.88
_cell_angle_gamma 65.42
loop_
_atom_site_label
_atom_site_fract_x
_atom_site_fract_y
_atom_site_fract_z
La1 0.0000 0.0000 0.0000
Si1 0.5000 0.5000 0.0000
Os1 0.2870 0.7870 0.5000
Os2 0.7130 0.2130 0.5000
```

Calculated values
Uncorrected energy (Ha/atom): -0.2909

***

No. 9
This record from the Alexandria database describes NaGe2Te6 after structural relaxation. The functional is GGA-PBE.

The structure in CIF format:
```
data_NaGe2Te6
_chemical_formula_sum 'Na2 Ge4 Te12'
_symmetry_space_group_name_H-M 'P 1'
_symmetry_Int_Tables_number 1
_symmetry_space_group_name_Hall 'P 1'
_cell_length_a 9.8608
_cell_length_b 9.8608
_cell_length_c 7.7037
_cell_angle_alpha 98.25
_cell_angle_beta 98.25
_cell_angle_gamma 89.88
loop_
_atom_site_label
_atom_site_fract_x
_atom_site_fract_y
_atom_site_fract_z
Na1 0.2259 0.7741 0.7500
Na2 0.7741 0.2259 0.2500
Ge1 0.2311 0.3115 0.8091
Ge2 0.3115 0.2311 0.3091
Ge3 0.6885 0.7689 0.6909
Ge4 0.7689 0.6885 0.1909
Te1 0.0552 0.5118 0.8427
Te2 0.0770 0.1071 0.1643
Te3 0.1071 0.0770 0.6643
Te4 0.3364 0.4387 0.5765
Te5 0.4387 0.3364 0.0765
Te6 0.4882 0.9448 0.6573
Te7 0.5118 0.0552 0.3427
Te8 0.5613 0.6636 0.9235
Te9 0.6636 0.5613 0.4235
Te10 0.8929 0.9230 0.3357
Te11 0.9230 0.8929 0.8357
Te12 0.9448 0.4882 0.1573
```

Calculated values
Uncorrected energy (Ha/atom): -0.1229

***

No. 10
This record from the Alexandria database describes MoAs2Cl after structural relaxation. The functional is GGA-PBE.

The structure in CIF format:
```
data_MoAs2Cl
_chemical_formula_sum 'Mo1 As2 Cl1'
_symmetry_space_group_name_H-M 'P 1'
_symmetry_Int_Tables_number 1
_symmetry_space_group_name_Hall 'P 1'
_cell_length_a 3.3414
_cell_length_b 3.8271
_cell_length_c 7.0408
_cell_angle_alpha 90.00
_cell_angle_beta 90.19
_cell_angle_gamma 90.00
loop_
_atom_site_label
_atom_site_fract_x
_atom_site_fract_y
_atom_site_fract_z
Mo1 0.0000 0.0000 0.0000
As1 0.4985 0.0000 0.6899
As2 0.4992 0.5000 0.9173
Cl1 0.0021 0.5000 0.2661
```

Calculated values
Uncorrected energy (Ha/atom): -0.2011
E above lowest polymorph (meV/atom): 164

***

No. 11
This record from the Alexandria database describes BaHg2Pt after structural relaxation. The functional is GGA-PBE.

The structure in CIF format:
```
data_BaHg2Pt
_chemical_formula_sum 'Ba1 Hg2 Pt1'
_symmetry_space_group_name_H-M 'P 1'
_symmetry_Int_Tables_number 1
_symmetry_space_group_name_Hall 'P 1'
_cell_length_a 6.3167
_cell_length_b 6.3167
_cell_length_c 6.3167
_cell_angle_alpha 44.73
_cell_angle_beta 44.73
_cell_angle_gamma 44.73
loop_
_atom_site_label
_atom_site_fract_x
_atom_site_fract_y
_atom_site_fract_z
Ba1 0.0000 0.0000 0.0000
Hg1 0.2126 0.2126 0.2126
Hg2 0.7874 0.7874 0.7874
Pt1 0.5000 0.5000 0.5000
```

Calculated values
Uncorrected energy (Ha/atom): -0.0938
Formation energy from the elements (eV per atom): -0.4101

***

No. 12
This record from the Alexandria database describes DyCu2AgF8 after structural relaxation. The functional is GGA-PBE.

The structure in CIF format:
```
data_DyCu2AgF8
_chemical_formula_sum 'Dy1 Cu2 Ag1 F8'
_symmetry_space_group_name_H-M 'P 1'
_symmetry_Int_Tables_number 1
_symmetry_space_group_name_Hall 'P 1'
_cell_length_a 6.6008
_cell_length_b 6.6008
_cell_length_c 6.6008
_cell_angle_alpha 130.30
_cell_angle_beta 130.30
_cell_angle_gamma 72.92
loop_
_atom_site_label
_atom_site_fract_x
_atom_site_fract_y
_atom_site_fract_z
Dy1 0.0000 0.0000 0.0000
Cu1 0.5000 0.5000 0.0000
Cu2 0.7500 0.2500 0.5000
Ag1 0.2500 0.7500 0.5000
F1 0.2691 0.7252 0.1032
F2 0.2748 0.3780 0.5439
F3 0.3851 0.0531 0.0734
F4 0.6220 0.1659 0.8968
F5 0.6883 0.6149 0.6680
F6 0.8341 0.7309 0.4561
F7 0.9469 0.0203 0.3320
F8 0.9797 0.3117 0.9266
```

Calculated values
Uncorrected energy (Ha/atom): -0.1766